No. 1
Here is Ta5NbTc4 after structural relaxation from Alexandria via LeMat-Bulk. Energies are from PBE-GGA.

Cell lengths 3.199, 3.199, 16.227 Å; angles 90.00, 90.00, 90.00 degrees
Atoms (fractional coordinates):
1 Ta 0.500 0.500 0.892
2 Ta 0.500 0.500 0.304
3 Ta 0.500 0.500 0.108
4 Ta 0.500 0.500 0.696
5 Ta 0.500 0.500 0.500
6 Tc 0.000 0.000 0.598
7 Tc 0.000 0.000 0.402
8 Tc 0.000 0.000 0.206
9 Tc 0.000 0.000 0.794
10 Nb 0.000 0.000 0.000

Results
Space-group type = P4/mmm
Magnetization = 0.0 μB/cell

=====

No. 2
Here is LaThPd2 after structural relaxation from Alexandria via LeMat-Bulk. Energies are from PBE-GGA.

Cell lengths 5.161, 5.161, 5.161 Å; angles 60.00, 60.00, 60.00 degrees
Atoms (fractional coordinates):
1 Th 0.500 0.500 0.500
2 Pd 0.750 0.750 0.750
3 Pd 0.250 0.250 0.250
4 La 0.000 0.000 0.000

Results
Space-group type = Fm-3m
Magnetization = 0.0 μB/cell
Energy above the lowest structure with this stoichiometry = 0.1237 eV/atom

=====

ΔH_f (0 K) per entry: -0.41 -0.67 eV/atom